No. 1
A plane-wave DFT calculation with PBE-GGA was carried out for LiSeF6 after structural relaxation.

Cell: 4.681 4.985 4.985 Å, 120.00 90.00 90.00°
Each line ends with the local moment (μB).
Fractional positions:
1 F 0.231 0.675 0.640  0.12
2 Se 0.000 0.667 0.333  0.18
3 F 0.231 0.360 0.035  0.12
4 F 0.769 0.675 0.035  0.12
5 Li 0.500 0.000 0.000  0.01
6 F 0.231 0.965 0.325  0.12
7 F 0.769 0.965 0.640  0.12
8 F 0.769 0.360 0.325  0.12

Computed properties:
space-group type = P312
raw formation energy = -1894 meV/atom
E above lowest polymorph = 0.016 eV/atom
V = 12.59 Å³ per atom

***

No. 2
A plane-wave DFT calculation with PBE-GGA was carried out for LiSe2F after structural relaxation.

Cell: 4.434 4.434 4.434 Å, 60.00 60.00 60.00°
Fractional positions:
1 Se 0.250 0.250 0.250
2 F 0.500 0.500 0.500
3 Li 0.000 0.000 0.000
4 Se 0.750 0.750 0.750

Computed properties:
space-group type = Fm-3m
raw formation energy = -391 meV/atom
E above lowest polymorph = 0.561 eV/atom
V = 15.41 Å³ per atom

***

No. 3
A plane-wave DFT calculation with PBE-GGA was carried out for Li2SeF after structural relaxation.

Cell: 5.723 5.723 5.566 Å, 59.06 59.06 90.00°
Each line ends with the local moment (μB).
Fractional positions:
1 F 0.500 0.500 0.000  0.01
2 Li 0.875 0.762 0.750  0.01
3 Se 0.000 0.000 0.000  0.57
4 Li 0.375 0.488 0.750  0.01
5 F 0.250 0.750 0.500  0.01
6 Se 0.750 0.250 0.500  0.57
7 Li 0.512 0.125 0.250  0.01
8 Li 0.238 0.625 0.250  0.01

Computed properties:
space-group type = I-42d
raw formation energy = -1703 meV/atom
E above lowest polymorph = 0.000 eV/atom
V = 15.64 Å³ per atom

***

No. 4
A plane-wave DFT calculation with PBE-GGA was carried out for Li2SeF after structural relaxation.

Cell: 3.370 3.370 7.355 Å, 76.75 76.75 60.00°
Fractional positions:
1 F 0.000 0.000 0.000
2 Li 0.080 0.080 0.761
3 Se 0.500 0.500 0.500
4 Li 0.920 0.920 0.239

Computed properties:
space-group type = R-3m
raw formation energy = -1592 meV/atom
E above lowest polymorph = 0.112 eV/atom
V = 17.44 Å³ per atom

***

No. 5
A plane-wave DFT calculation with PBE-GGA was carried out for LiSe2F8 after structural relaxation.

Cell: 4.459 6.526 6.711 Å, 119.12 83.55 89.99°
Fractional positions:
1 F 0.789 0.316 0.214
2 F 0.257 0.604 0.207
3 Se 0.767 0.611 0.222
4 F 0.211 0.684 0.786
5 F 0.212 0.102 0.787
6 F 0.760 0.761 0.521
7 Se 0.233 0.389 0.778
8 F 0.743 0.396 0.793
9 Li 0.000 0.000 0.000
10 F 0.240 0.239 0.479
11 F 0.788 0.898 0.213

Computed properties:
space-group type = C2/m
raw formation energy = -1748 meV/atom
V = 15.38 Å³ per atom

***

No. 6
A plane-wave DFT calculation with PBE-GGA was carried out for LiSe2F after structural relaxation.

Cell: 9.085 9.085 9.085 Å, 18.89 18.89 18.89°
Fractional positions:
1 Se 0.908 0.908 0.908
2 Li 0.000 0.000 0.000
3 Se 0.092 0.092 0.092
4 F 0.500 0.500 0.500

Computed properties:
space-group type = R-3m
raw formation energy = -146 meV/atom
E above lowest polymorph = 0.806 eV/atom
V = 17.17 Å³ per atom

***

No. 7
A plane-wave DFT calculation with PBE-GGA was carried out for Li7Se2F2 after structural relaxation.

Cell: 5.399 5.784 6.084 Å, 72.67 90.56 77.46°
Fractional positions:
1 Li 0.488 0.217 0.579
2 F 0.261 0.950 0.604
3 Se 0.777 0.429 0.764
4 Li 0.022 0.751 0.552
5 Li 0.978 0.249 0.448
6 Li 0.000 0.000 0.000
7 Li 0.512 0.783 0.421
8 Li 0.475 0.753 0.901
9 F 0.739 0.050 0.396
10 Se 0.223 0.571 0.236
11 Li 0.525 0.247 0.099

Computed properties:
space-group type = P-1
raw formation energy = -1595 meV/atom
V = 16.04 Å³ per atom

***

No. 8
A plane-wave DFT calculation with PBE-GGA was carried out for LiSe2F after structural relaxation.

Cell: 3.591 3.591 14.038 Å, 82.65 82.65 90.00°
Fractional positions:
1 Se 0.375 0.375 0.750
2 F 0.000 0.000 0.000
3 Se 0.875 0.875 0.750
4 Li 0.250 0.750 0.500
5 Se 0.625 0.125 0.250
6 Se 0.125 0.625 0.250
7 F 0.750 0.250 0.500
8 Li 0.500 0.500 0.000

Computed properties:
space-group type = I-42d
raw formation energy = -952 meV/atom
E above lowest polymorph = 0.000 eV/atom
V = 22.26 Å³ per atom

***

Question: Which value of V does entry 3 give?
Answer: 15.64 Å³ per atom

***

Question: Number 4 is which compound?
Answer: Li2SeF

***

Question: raw formation energy of number 4 (Li2SeF)?
Answer: -1592 meV/atom